Record 1
VASP calculation (PBE) on a relaxed Mn2NbGa crystal.

The space group is P4/mmm, No. 123. As for the crystal system: tetragonal.

Unit cell a=3.155 b=3.155 c=5.660 alpha=90.00 beta=90.00 gamma=90.00
Fractional coordinates of all 4 atoms:
Mn 0.000 0.000 0.243
Mn 0.000 0.000 0.757
Nb 0.500 0.500 0.500
Ga 0.500 0.500 0.000

Record 2
VASP calculation (PBE) on a relaxed Rb2In6HgPb crystal.

The space group is R-3m, No. 166. As for the crystal system: trigonal.

Unit cell a=14.392 b=14.392 c=14.392 alpha=32.42 beta=32.42 gamma=32.42
Fractional coordinates of all 20 atoms:
Rb 0.153 0.153 0.153
Rb 0.289 0.289 0.289
Rb 0.711 0.711 0.711
Rb 0.847 0.847 0.847
In 0.158 0.587 0.587
In 0.182 0.807 0.807
In 0.193 0.193 0.818
In 0.193 0.818 0.193
In 0.413 0.413 0.842
In 0.413 0.842 0.413
In 0.587 0.158 0.587
In 0.587 0.587 0.158
In 0.807 0.182 0.807
In 0.807 0.807 0.182
In 0.818 0.193 0.193
In 0.842 0.413 0.413
Hg 0.000 0.000 0.000
Hg 0.500 0.500 0.500
Pb 0.377 0.377 0.377
Pb 0.623 0.623 0.623

no.,energy relative to the elements (kJ per mole of atoms),uncorrected energy (eV per atom)
1,-11.03,-7.973
2,-1.57,-2.254